The following is a DFT calculation (PBE) of a geometry-optimized HgH3F structure.

extended XYZ file:
```
5
Lattice="3.6253 0.0000 0.0000 0.0000 3.6253 0.0000 0.0000 0.0000 3.6253" Properties=species:S:1:pos:R:3 pbc="T T T"
Hg 0.0000 0.0000 0.0000
H 0.0000 0.0000 1.8126
H 0.0000 1.8126 0.0000
H 1.8126 0.0000 0.0000
F 1.8126 1.8126 1.8126
```

spin magnetization = 0.00 Bohr magnetons per cell
VASP energy = -11.02 eV for the cell shown
crystal system = cubic

The following is a DFT calculation (PBE) of a geometry-optimized Ba2PtRhO4 structure.

extended XYZ file:
```
8
Lattice="-3.2081 3.2081 3.2614 3.2081 -3.2081 3.2614 3.2081 3.2081 -3.2614" Properties=species:S:1:pos:R:3 pbc="T T T"
Ba 0.0000 0.0000 0.0000
Ba 0.0000 3.2081 1.6307
Pt 3.2081 0.0000 1.6307
Rh 0.0000 0.0000 3.2614
O 1.6690 -1.0523 2.8270
O 2.1558 1.5391 0.4344
O 1.5391 4.2604 -0.4344
O 1.0523 1.6690 3.6958
```

spin magnetization = 0.01 Bohr magnetons per cell
formation energy without anion corrections = -1.152 eV per atom
VASP energy = -46.29 eV for the cell shown
crystal system = tetragonal

The following is a DFT calculation (PBE) of a geometry-optimized CsRbLiPb2 structure.

extended XYZ file:
```
5
Lattice="6.5770 0.0000 0.0000 0.0000 6.5770 0.0000 0.0000 0.0000 6.6690" Properties=species:S:1:pos:R:3 pbc="T T T"
Cs 0.0000 0.0000 0.0000
Rb 0.0000 0.0000 3.3345
Li 3.2885 3.2885 3.3345
Pb 0.0000 3.2885 0.0000
Pb 3.2885 0.0000 0.0000
```

spin magnetization = 0.00 Bohr magnetons per cell
DFT formation energy = 0.759 eV/atom
VASP energy = -7.36 eV for the cell shown
crystal system = tetragonal

The following is a DFT calculation (PBE) of a geometry-optimized Ho7Ni2Pb2 structure.

extended XYZ file:
```
11
Lattice="5.4934 -4.0151 0.0000 5.4934 4.0151 0.0000 -0.0094 0.0000 7.0515" Properties=species:S:1:pos:R:3 pbc="T T T"
Ho 0.0000 0.0000 0.0000
Ho 2.7475 2.0080 1.6840
Ho 8.2298 -2.0080 5.3675
Ho 2.7475 -2.0080 1.6840
Ho 8.2298 2.0080 5.3675
Ho 5.4938 0.0000 1.5867
Ho 5.4836 0.0000 5.4648
Ni 3.1661 0.0000 7.0513
Ni 7.8112 0.0000 0.0002
Pb 5.4887 2.4984 3.5257
Pb 5.4887 -2.4984 3.5257
```

spin magnetization = 0.00 Bohr magnetons per cell
DFT formation energy = -0.236 eV/atom
VASP energy = -53.62 eV for the cell shown
crystal system = monoclinic

The following is a DFT calculation (PBE) of a geometry-optimized CaDyTm2Au4 structure.

extended XYZ file:
```
8
Lattice="2.5245 1.4575 8.3109 -2.5245 1.4575 8.3109 0.0000 -2.9151 8.3109" Properties=species:S:1:pos:R:3 pbc="T T T"
Ca 0.0000 0.0000 0.0000
Dy 0.0000 0.0000 12.4663
Tm 0.0000 0.0000 6.2723
Tm 0.0000 0.0000 18.6604
Au 0.0000 0.0000 3.2301
Au 0.0000 0.0000 9.4374
Au 0.0000 0.0000 15.4953
Au 0.0000 0.0000 21.7026
```

spin magnetization = 0.00 Bohr magnetons per cell
DFT formation energy = -0.852 eV/atom
VASP energy = -35.47 eV for the cell shown
crystal system = trigonal

The following is a DFT calculation (PBE) of a geometry-optimized PrTmTlIn structure.

extended XYZ file:
```
4
Lattice="0.0000 3.8302 3.8302 3.8302 0.0000 3.8302 3.8302 3.8302 0.0000" Properties=species:S:1:pos:R:3 pbc="T T T"
Pr 0.0000 0.0000 0.0000
Tm 3.8302 3.8302 3.8302
Tl 5.7453 5.7453 5.7453
In 1.9151 1.9151 1.9151
```

spin magnetization = 0.00 Bohr magnetons per cell
DFT formation energy = -0.395 eV/atom
VASP energy = -15.94 eV for the cell shown
crystal system = cubic

The following is a DFT calculation (PBE) of a geometry-optimized SrDyCu2 structure.

extended XYZ file:
```
4
Lattice="0.0000 3.5967 3.5967 3.5967 0.0000 3.5967 3.5967 3.5967 0.0000" Properties=species:S:1:pos:R:3 pbc="T T T"
Sr 0.0000 0.0000 0.0000
Dy 3.5967 3.5967 3.5967
Cu 1.7984 1.7984 1.7984
Cu 5.3951 5.3951 5.3951
```

spin magnetization = 0.00 Bohr magnetons per cell
DFT formation energy = -0.015 eV/atom
VASP energy = -14.54 eV for the cell shown
crystal system = cubic

The following is a DFT calculation (PBE) of a geometry-optimized Pm2AgAu5 structure.

extended XYZ file:
```
8
Lattice="0.0000 4.6574 4.0666 4.6463 0.0000 4.0666 4.6463 4.6574 0.0000" Properties=species:S:1:pos:R:3 pbc="T T T"
Pm 2.3232 2.3287 0.0000
Pm 2.3232 2.3287 4.0666
Ag 4.6463 4.6574 3.4540
Au 4.6463 4.6574 0.4806
Au 4.6463 2.6439 6.0802
Au 6.6494 4.6574 6.0799
Au 2.6433 4.6574 6.0799
Au 4.6463 6.6710 6.0802
```

spin magnetization = 0.00 Bohr magnetons per cell
DFT formation energy = -0.479 eV/atom
VASP energy = -32.57 eV for the cell shown
crystal system = orthorhombic